# Ba2Na2Li PBE relaxed
# energy above the most stable polymorph in this dataset: 0.069 eV per atom
# calculated formation energy: 0.460 eV per formula unit
data_Ba2Na2Li
_chemical_formula_sum 'Ba4 Na4 Li2'
_symmetry_space_group_name_H-M 'I 4/m m m'
_symmetry_Int_Tables_number 139
_symmetry_space_group_name_Hall '-I 4 2'
_cell_length_a 4.5521
_cell_length_b 4.5521
_cell_length_c 22.1885
_cell_angle_alpha 90.00
_cell_angle_beta 90.00
_cell_angle_gamma 90.00
loop_
_atom_site_label
_atom_site_fract_x
_atom_site_fract_y
_atom_site_fract_z
_atom_site_occupancy
Ba1 0.0000 0.0000 0.0943 1
Na1 0.0000 0.5000 0.2500 1
Li1 0.0000 0.0000 0.5000 1

***

# Ba3Na12Li5 PBE relaxed
# calculated formation energy: 5.630 eV per formula unit
data_Ba3Na12Li5
_chemical_formula_sum 'Ba24 Na96 Li40'
_symmetry_space_group_name_H-M 'I a -3 d'
_symmetry_Int_Tables_number 230
_symmetry_space_group_name_Hall '-I 4bd 2c 3'
_cell_length_a 19.2179
_cell_length_b 19.2179
_cell_length_c 19.2179
_cell_angle_alpha 90.00
_cell_angle_beta 90.00
_cell_angle_gamma 90.00
loop_
_atom_site_label
_atom_site_fract_x
_atom_site_fract_y
_atom_site_fract_z
_atom_site_occupancy
Ba1 0.0000 0.2500 0.1250 1
Na1 0.0575 0.1231 0.9340 1
Li1 0.0000 0.0000 0.0000 1
Li2 0.0000 0.2500 0.3750 1

***

# Ba2NaLiO PBE relaxed
# energy above the most stable polymorph in this dataset: 0.039 eV per atom
# formation energy from raw total energies: -811 meV/atom
data_Ba2NaLiO
_chemical_formula_sum 'Ba2 Na1 Li1 O1'
_symmetry_space_group_name_H-M 'P 4/m m m'
_symmetry_Int_Tables_number 123
_symmetry_space_group_name_Hall '-P 4 2'
_cell_length_a 5.6221
_cell_length_b 5.6221
_cell_length_c 4.8403
_cell_angle_alpha 90.00
_cell_angle_beta 90.00
_cell_angle_gamma 90.00
loop_
_atom_site_label
_atom_site_fract_x
_atom_site_fract_y
_atom_site_fract_z
_atom_site_occupancy
Ba1 0.0000 0.5000 0.0000 1
Na1 0.0000 0.0000 0.5000 1
Li1 0.5000 0.5000 0.5000 1
O1 0.5000 0.5000 0.0000 1

***

# Ba2NaLiO PBE relaxed
# energy above the most stable polymorph in this dataset: 0.000 eV per atom
# formation energy from raw total energies: -850 meV/atom
data_Ba2NaLiO
_chemical_formula_sum 'Ba2 Na1 Li1 O1'
_symmetry_space_group_name_H-M 'P 4/m m m'
_symmetry_Int_Tables_number 123
_symmetry_space_group_name_Hall '-P 4 2'
_cell_length_a 5.4787
_cell_length_b 5.4787
_cell_length_c 5.3636
_cell_angle_alpha 90.00
_cell_angle_beta 90.00
_cell_angle_gamma 90.00
loop_
_atom_site_label
_atom_site_fract_x
_atom_site_fract_y
_atom_site_fract_z
_atom_site_occupancy
Ba1 0.0000 0.5000 0.0000 1
Na1 0.0000 0.0000 0.5000 1
Li1 0.5000 0.5000 0.5000 1
O1 0.0000 0.0000 0.0000 1

***

# Ba2NaLiP PBE relaxed
# calculated formation energy: -2.166 eV per formula unit
data_Ba2NaLiP
_chemical_formula_sum 'Ba2 Na1 Li1 P1'
_symmetry_space_group_name_H-M 'P 4/m m m'
_symmetry_Int_Tables_number 123
_symmetry_space_group_name_Hall '-P 4 2'
_cell_length_a 6.4296
_cell_length_b 6.4296
_cell_length_c 4.8887
_cell_angle_alpha 90.00
_cell_angle_beta 90.00
_cell_angle_gamma 90.00
loop_
_atom_site_label
_atom_site_fract_x
_atom_site_fract_y
_atom_site_fract_z
_atom_site_occupancy
Ba1 0.0000 0.5000 0.0000 1
Na1 0.0000 0.0000 0.5000 1
Li1 0.5000 0.5000 0.5000 1
P1 0.5000 0.5000 0.0000 1

***

# Ba2NaLi4P3 PBE relaxed
# calculated formation energy: -7.014 eV per formula unit
data_Ba2NaLi4P3
_chemical_formula_sum 'Ba2 Na1 Li4 P3'
_symmetry_space_group_name_H-M 'P -4 m 2'
_symmetry_Int_Tables_number 115
_symmetry_space_group_name_Hall 'P -4 -2'
_cell_length_a 4.4882
_cell_length_b 4.4882
_cell_length_c 10.7176
_cell_angle_alpha 90.00
_cell_angle_beta 90.00
_cell_angle_gamma 90.00
loop_
_atom_site_label
_atom_site_fract_x
_atom_site_fract_y
_atom_site_fract_z
_atom_site_occupancy
Ba1 0.0000 0.5000 0.2236 1
Na1 0.0000 0.0000 0.5000 1
Li1 0.0000 0.0000 0.0000 1
Li2 0.0000 0.5000 0.6361 1
Li3 0.5000 0.5000 0.0000 1
P1 0.0000 0.5000 0.8675 1
P2 0.5000 0.5000 0.5000 1

***

# BaNaLiP PBE relaxed
# calculated formation energy: -2.240 eV per formula unit
data_BaNaLiP
_chemical_formula_sum 'Ba2 Na2 Li2 P2'
_symmetry_space_group_name_H-M 'P 4/n m m'
_symmetry_Int_Tables_number 129
_cell_length_a 4.4347
_cell_length_b 4.4347
_cell_length_c 12.5372
_cell_angle_alpha 90.00
_cell_angle_beta 90.00
_cell_angle_gamma 90.00
loop_
_symmetry_equiv_pos_as_xyz
'x,y,z'
'-x,-y,-z'
'-y+1/2,x,z'
'y+1/2,-x,-z'
'-x+1/2,-y+1/2,z'
'x+1/2,y+1/2,-z'
'y,-x+1/2,z'
'-y,x+1/2,-z'
'x+1/2,-y,-z'
'-x+1/2,y,z'
'-y,-x,-z'
'y,x,z'
'-x,y+1/2,-z'
'x,-y+1/2,z'
'y+1/2,x+1/2,-z'
'-y+1/2,-x+1/2,z'
loop_
_atom_site_label
_atom_site_fract_x
_atom_site_fract_y
_atom_site_fract_z
_atom_site_occupancy
Ba1 0.2500 0.2500 0.1929 1
Na1 0.2500 0.7500 0.5000 1
Li1 0.2500 0.7500 0.0000 1
P1 0.2500 0.2500 0.8876 1

***

# Ba2Na2LiPb4 PBE relaxed
# calculated formation energy: -2.938 eV per formula unit
data_Ba2Na2LiPb4
_chemical_formula_sum 'Ba4 Na4 Li2 Pb8'
_symmetry_space_group_name_H-M 'I 4/m m m'
_symmetry_Int_Tables_number 139
_symmetry_space_group_name_Hall '-I 4 2'
_cell_length_a 7.4342
_cell_length_b 7.4342
_cell_length_c 10.5518
_cell_angle_alpha 90.00
_cell_angle_beta 90.00
_cell_angle_gamma 90.00
loop_
_atom_site_label
_atom_site_fract_x
_atom_site_fract_y
_atom_site_fract_z
_atom_site_occupancy
Ba1 0.0000 0.5000 0.2500 1
Na1 0.0000 0.0000 0.2228 1
Li1 0.0000 0.0000 0.5000 1
Pb1 0.2258 0.2258 0.0000 1

***

# BaNa2LiPb PBE relaxed
# calculated formation energy: -0.631 eV per formula unit
data_BaNa2LiPb
_chemical_formula_sum 'Ba1 Na2 Li1 Pb1'
_symmetry_space_group_name_H-M 'P 4/m m m'
_symmetry_Int_Tables_number 123
_symmetry_space_group_name_Hall '-P 4 2'
_cell_length_a 5.5425
_cell_length_b 5.5425
_cell_length_c 5.3904
_cell_angle_alpha 90.00
_cell_angle_beta 90.00
_cell_angle_gamma 90.00
loop_
_atom_site_label
_atom_site_fract_x
_atom_site_fract_y
_atom_site_fract_z
_atom_site_occupancy
Ba1 0.0000 0.0000 0.0000 1
Na1 0.0000 0.5000 0.5000 1
Li1 0.5000 0.5000 0.5000 1
Pb1 0.5000 0.5000 0.0000 1

***

# Ba3Na2Li2Pb4 PBE relaxed
# calculated formation energy: -2.676 eV per formula unit
data_Ba3Na2Li2Pb4
_chemical_formula_sum 'Ba3 Na2 Li2 Pb4'
_symmetry_space_group_name_H-M 'P -3 m 1'
_symmetry_Int_Tables_number 164
_symmetry_space_group_name_Hall '-P 3 2"'
_cell_length_a 5.5542
_cell_length_b 5.5542
_cell_length_c 14.6768
_cell_angle_alpha 90.00
_cell_angle_beta 90.00
_cell_angle_gamma 120.00
loop_
_atom_site_label
_atom_site_fract_x
_atom_site_fract_y
_atom_site_fract_z
_atom_site_occupancy
Ba1 0.0000 0.0000 0.0000 1
Ba2 0.0000 0.0000 0.2740 1
Na1 0.3333 0.6667 0.5765 1
Li1 0.3333 0.6667 0.1470 1
Pb1 0.3333 0.6667 0.3630 1
Pb2 0.3333 0.6667 0.8573 1

***

# Ba2NaLi2Pd PBE relaxed
# calculated formation energy: -0.873 eV per formula unit
data_Ba2NaLi2Pd
_chemical_formula_sum 'Ba8 Na4 Li8 Pd4'
_symmetry_space_group_name_H-M 'I b a m'
_symmetry_Int_Tables_number 72
_symmetry_space_group_name_Hall '-I 2 2c'
_cell_length_a 8.8515
_cell_length_b 13.9151
_cell_length_c 7.0775
_cell_angle_alpha 90.00
_cell_angle_beta 90.00
_cell_angle_gamma 90.00
loop_
_atom_site_label
_atom_site_fract_x
_atom_site_fract_y
_atom_site_fract_z
_atom_site_occupancy
Ba1 0.1490 0.1763 0.0000 1
Na1 0.0000 0.5000 0.2500 1
Li1 0.1979 0.0632 0.5000 1
Pd1 0.0000 0.0000 0.2500 1

***

# Ba2NaLiPt PBE relaxed
# energy above the most stable polymorph in this dataset: 0.607 eV per atom
# calculated formation energy: 1.416 eV per formula unit
data_Ba2NaLiPt
_chemical_formula_sum 'Ba2 Na1 Li1 Pt1'
_symmetry_space_group_name_H-M 'P 4/m m m'
_symmetry_Int_Tables_number 123
_symmetry_space_group_name_Hall '-P 4 2'
_cell_length_a 6.3993
_cell_length_b 6.3993
_cell_length_c 4.9723
_cell_angle_alpha 90.00
_cell_angle_beta 90.00
_cell_angle_gamma 90.00
loop_
_atom_site_label
_atom_site_fract_x
_atom_site_fract_y
_atom_site_fract_z
_atom_site_occupancy
Ba1 0.0000 0.5000 0.0000 1
Na1 0.0000 0.0000 0.0000 1
Li1 0.5000 0.5000 0.5000 1
Pt1 0.0000 0.0000 0.5000 1

***

# Ba2NaLiPt PBE relaxed
# energy above the most stable polymorph in this dataset: 0.000 eV per atom
# calculated formation energy: -1.617 eV per formula unit
data_Ba2NaLiPt
_chemical_formula_sum 'Ba4 Na2 Li2 Pt2'
_symmetry_space_group_name_H-M 'P 1 21/m 1'
_symmetry_Int_Tables_number 11
_symmetry_space_group_name_Hall '-P 2yb'
_cell_length_a 8.6560
_cell_length_b 4.5963
_cell_length_c 10.8639
_cell_angle_alpha 90.00
_cell_angle_beta 109.14
_cell_angle_gamma 90.00
loop_
_atom_site_label
_atom_site_fract_x
_atom_site_fract_y
_atom_site_fract_z
_atom_site_occupancy
Ba1 0.0811 0.2500 0.3501 1
Ba2 0.2352 0.7500 0.0369 1
Na1 0.4402 0.7500 0.6156 1
Li1 0.2856 0.2500 0.7558 1
Pt1 0.0557 0.2500 0.8451 1

***

# Ba2NaLiPt PBE relaxed
# energy above the most stable polymorph in this dataset: 0.095 eV per atom
# calculated formation energy: -1.144 eV per formula unit
data_Ba2NaLiPt
_chemical_formula_sum 'Ba2 Na1 Li1 Pt1'
_symmetry_space_group_name_H-M 'P 4/m m m'
_symmetry_Int_Tables_number 123
_symmetry_space_group_name_Hall '-P 4 2'
_cell_length_a 6.1758
_cell_length_b 6.1758
_cell_length_c 5.6460
_cell_angle_alpha 90.00
_cell_angle_beta 90.00
_cell_angle_gamma 90.00
loop_
_atom_site_label
_atom_site_fract_x
_atom_site_fract_y
_atom_site_fract_z
_atom_site_occupancy
Ba1 0.0000 0.5000 0.0000 1
Na1 0.0000 0.0000 0.5000 1
Li1 0.5000 0.5000 0.5000 1
Pt1 0.0000 0.0000 0.0000 1

***

# BaNaLi2Pt PBE relaxed
# energy above the most stable polymorph in this dataset: 0.041 eV per atom
# calculated formation energy: -0.565 eV per formula unit
data_BaNaLi2Pt
_chemical_formula_sum 'Ba1 Na1 Li2 Pt1'
_symmetry_space_group_name_H-M 'P 4/m m m'
_symmetry_Int_Tables_number 123
_symmetry_space_group_name_Hall '-P 4 2'
_cell_length_a 5.0589
_cell_length_b 5.0589
_cell_length_c 5.4786
_cell_angle_alpha 90.00
_cell_angle_beta 90.00
_cell_angle_gamma 90.00
loop_
_atom_site_label
_atom_site_fract_x
_atom_site_fract_y
_atom_site_fract_z
_atom_site_occupancy
Ba1 0.0000 0.0000 0.0000 1
Na1 0.5000 0.5000 0.0000 1
Li1 0.0000 0.5000 0.5000 1
Pt1 0.5000 0.5000 0.5000 1

***

# BaNaLi2Pt PBE relaxed
# energy above the most stable polymorph in this dataset: 0.000 eV per atom
# calculated formation energy: -0.770 eV per formula unit
data_BaNaLi2Pt
_chemical_formula_sum 'Ba1 Na1 Li2 Pt1'
_symmetry_space_group_name_H-M 'P 4/m m m'
_symmetry_Int_Tables_number 123
_symmetry_space_group_name_Hall '-P 4 2'
_cell_length_a 5.1945
_cell_length_b 5.1945
_cell_length_c 5.9901
_cell_angle_alpha 90.00
_cell_angle_beta 90.00
_cell_angle_gamma 90.00
loop_
_atom_site_label
_atom_site_fract_x
_atom_site_fract_y
_atom_site_fract_z
_atom_site_occupancy
Ba1 0.0000 0.0000 0.0000 1
Na1 0.5000 0.5000 0.0000 1
Li1 0.0000 0.5000 0.5000 1
Pt1 0.0000 0.0000 0.5000 1

***

# Ba2NaLiPt PBE relaxed
# energy above the most stable polymorph in this dataset: 0.008 eV per atom
# calculated formation energy: -1.577 eV per formula unit
data_Ba2NaLiPt
_chemical_formula_sum 'Ba2 Na1 Li1 Pt1'
_symmetry_space_group_name_H-M 'P 4/m m m'
_symmetry_Int_Tables_number 123
_symmetry_space_group_name_Hall '-P 4 2'
_cell_length_a 6.2322
_cell_length_b 6.2322
_cell_length_c 5.1455
_cell_angle_alpha 90.00
_cell_angle_beta 90.00
_cell_angle_gamma 90.00
loop_
_atom_site_label
_atom_site_fract_x
_atom_site_fract_y
_atom_site_fract_z
_atom_site_occupancy
Ba1 0.0000 0.5000 0.0000 1
Na1 0.0000 0.0000 0.5000 1
Li1 0.5000 0.5000 0.5000 1
Pt1 0.5000 0.5000 0.0000 1

***

# RbBa2NaLi PBE relaxed
# calculated formation energy: 0.901 eV per formula unit
data_RbBa2NaLi
_chemical_formula_sum 'Rb1 Ba2 Na1 Li1'
_symmetry_space_group_name_H-M 'P 4/m m m'
_symmetry_Int_Tables_number 123
_symmetry_space_group_name_Hall '-P 4 2'
_cell_length_a 6.8741
_cell_length_b 6.8741
_cell_length_c 6.2836
_cell_angle_alpha 90.00
_cell_angle_beta 90.00
_cell_angle_gamma 90.00
loop_
_atom_site_label
_atom_site_fract_x
_atom_site_fract_y
_atom_site_fract_z
_atom_site_occupancy
Rb1 0.0000 0.0000 0.0000 1
Ba1 0.0000 0.5000 0.5000 1
Na1 0.5000 0.5000 0.0000 1
Li1 0.5000 0.5000 0.5000 1

***

# BaNaLiRe2 PBE relaxed
# calculated formation energy: 12.982 eV per formula unit
data_BaNaLiRe2
_chemical_formula_sum 'Ba1 Na1 Li1 Re2'
_symmetry_space_group_name_H-M 'P 4/m m m'
_symmetry_Int_Tables_number 123
_symmetry_space_group_name_Hall '-P 4 2'
_cell_length_a 5.2647
_cell_length_b 5.2647
_cell_length_c 5.6584
_cell_angle_alpha 90.00
_cell_angle_beta 90.00
_cell_angle_gamma 90.00
loop_
_atom_site_label
_atom_site_fract_x
_atom_site_fract_y
_atom_site_fract_z
_atom_site_occupancy
Ba1 0.0000 0.0000 0.0000 1
Na1 0.0000 0.0000 0.5000 1
Li1 0.5000 0.5000 0.5000 1
Re1 0.0000 0.5000 0.0000 1

***

# Ba2NaLiRe PBE relaxed
# calculated formation energy: 6.702 eV per formula unit
data_Ba2NaLiRe
_chemical_formula_sum 'Ba2 Na1 Li1 Re1'
_symmetry_space_group_name_H-M 'P 4/m m m'
_symmetry_Int_Tables_number 123
_symmetry_space_group_name_Hall '-P 4 2'
_cell_length_a 6.3900
_cell_length_b 6.3900
_cell_length_c 4.6408
_cell_angle_alpha 90.00
_cell_angle_beta 90.00
_cell_angle_gamma 90.00
loop_
_atom_site_label
_atom_site_fract_x
_atom_site_fract_y
_atom_site_fract_z
_atom_site_occupancy
Ba1 0.0000 0.5000 0.0000 1
Na1 0.0000 0.0000 0.0000 1
Li1 0.0000 0.0000 0.5000 1
Re1 0.5000 0.5000 0.5000 1

***

Looking at V for the records above, in order, we have 459.8 7097.7 153.0 161.0 202.1 215.9 246.6 583.2 165.6 392.1 871.7 203.6 408.3 215.3 140.2 161.6 199.9 296.9 156.8 189.5 Å³/cell.